The following is a GGA-PBE calculation of crystalline LaTeBr2 at its relaxed geometry, from Alexandria.

abc: 7.6194 7.6194 7.5633
angles: 50.09 50.09 30.67
Last column: nearest neighbours and their distance in Å.
Element x y z (fractional)
1 Br 0.0005 0.0005 0.0714  2 La 2.96
2 La 0.5259 0.5259 0.3230  4 Br 2.96
3 Te 0.8090 0.8090 0.7573  3 La 3.33-3.45
4 Br 0.1646 0.1646 0.3483  2 La 2.96

Calculated values
DOS(E_F) (states/eV/f.u.): 2.27
Calculated volume (Å³/atom): 41.81
Distance to the lowest polymorph of the same formula (meV/atom): 0
Uncorrected energy (eV/atom): -4.237


The following is a GGA-PBE calculation of crystalline LaTe2Br at its relaxed geometry, from Alexandria.

abc: 6.3459 6.3459 4.6234
angles: 68.63 68.63 42.69
Last column: nearest neighbours and their distance in Å.
Element x y z (fractional)
1 Br 0.2500 0.2500 0.2500  4 La 3.27, 8 Te 3.57
2 Te 0.0000 0.0000 0.9999  4 Te 3.27, 4 La 3.57, 4 Br 3.57
3 Te 0.5000 0.5000 0.5001  4 Te 3.27, 4 La 3.57, 4 Br 3.57
4 La 0.7500 0.7500 0.7500  4 Br 3.27, 8 Te 3.57

Calculated values
DOS(E_F) (states/eV/f.u.): 1.32
Calculated volume (Å³/atom): 29.05
Distance to the lowest polymorph of the same formula (meV/atom): 93
Uncorrected energy (eV/atom): -4.324


The following is a GGA-PBE calculation of crystalline La5Te4Br at its relaxed geometry, from Alexandria.

abc: 4.5438 4.5438 16.3546
angles: 97.99 97.99 90.00
Last column: nearest neighbours and their distance in Å.
Element x y z (fractional)
1 La 0.6997 0.6997 0.3993  6 Te 3.21-3.25
2 Te 0.4004 0.4004 0.8008  6 La 3.20-3.21
3 Te 0.5996 0.5996 0.1992  6 La 3.20-3.21
4 La 0.9021 0.9021 0.8043  1 Br 3.14, 5 Te 3.21-3.24
5 Te 0.8011 0.8011 0.6021  6 La 3.21-3.25
6 La 0.0979 0.0979 0.1957  1 Br 3.14, 5 Te 3.21-3.24
7 Br 0.0000 0.0000 0.0000  6 La 3.14-3.21
8 La 0.3003 0.3003 0.6007  6 Te 3.21-3.25
9 Te 0.1989 0.1989 0.3979  6 La 3.21-3.25
10 La 0.5000 0.5000 0.0000  2 Te 3.20, 4 Br 3.21

Calculated values
DOS(E_F) (states/eV/f.u.): 8.94
Calculated volume (Å³/atom): 33.11
Distance to the lowest polymorph of the same formula (meV/atom): 16
Uncorrected energy (eV/atom): -5.398


The following is a GGA-PBE calculation of crystalline LaTe2Br at its relaxed geometry, from Alexandria.

abc: 4.7229 5.4757 7.1536
angles: 54.46 90.00 90.00
Last column: nearest neighbours and their distance in Å.
Element x y z (fractional)
1 La 0.5000 0.7500 0.7500  2 Br 2.98, 4 Te 3.30
2 Br 0.5000 0.2500 0.2500  2 La 2.98
3 Te 0.0000 0.9555 0.9538  1 Te 2.82
4 Te 0.0000 0.5445 0.5462  1 Te 2.82

Calculated values
Calculated volume (Å³/atom): 37.63
Distance to the lowest polymorph of the same formula (meV/atom): 21
Uncorrected energy (eV/atom): -4.395


The following is a GGA-PBE calculation of crystalline La6Te5Br at its relaxed geometry, from Alexandria.

abc: 7.8964 7.8672 7.8751
angles: 60.03 80.41 70.52
Last column: nearest neighbours and their distance in Å.
Element x y z (fractional)
1 La 0.2514 0.5799 0.3364  5 Te 3.19-3.22, 1 Br 3.24
2 La 0.2515 0.2522 0.0000  5 Te 3.19-3.22, 1 Br 3.24
3 La 0.7485 0.7478 0.0000  5 Te 3.19-3.22, 1 Br 3.24
4 Te 0.5000 0.5000 0.0000  6 La 3.19-3.22
5 La 0.7486 0.0837 0.3364  5 Te 3.19-3.22, 1 Br 3.24
6 Te 0.0000 0.3335 0.3330  6 La 3.21-3.22
7 Te 0.0000 0.6665 0.6670  6 La 3.21-3.22
8 La 0.7486 0.4201 0.6636  5 Te 3.19-3.22, 1 Br 3.24
9 Te 0.5000 0.1665 0.6670  6 La 3.19-3.22
10 Br 0.0000 0.0000 0.0000  6 La 3.24
11 Te 0.5000 0.8335 0.3330  6 La 3.19-3.22
12 La 0.2514 0.9163 0.6636  5 Te 3.19-3.22, 1 Br 3.24

Calculated values
DOS(E_F) (states/eV/f.u.): 8.67
Calculated volume (Å³/atom): 33.30
Uncorrected energy (eV/atom): -5.450


The following is a GGA-PBE calculation of crystalline LaTeBr2 at its relaxed geometry, from Alexandria.

abc: 4.1015 7.5981 7.5903
angles: 50.88 90.00 90.00
Last column: nearest neighbours and their distance in Å.
Element x y z (fractional)
1 Br 0.0000 0.4026 0.4023  2 La 2.93
2 Br 0.0000 0.0974 0.0977  2 La 2.93
3 Te 0.5000 0.7500 0.7500  2 La 3.26
4 La 0.5000 0.2500 0.2500  4 Br 2.93, 2 Te 3.26

Calculated values
DOS(E_F) (states/eV/f.u.): 3.01
Calculated volume (Å³/atom): 45.88
Distance to the lowest polymorph of the same formula (meV/atom): 31
Uncorrected energy (eV/atom): -4.206


| no. | density (g/cm3) | formation energy from raw total energies (eV per atom) |
| --- | --- | --- |
| 1 | 4.2 | -1.383 |
| 2 | 6.8 | -1.103 |
| 3 | 6.4 | -1.510 |
| 4 | 5.2 | -1.174 |
| 5 | 6.4 | -1.538 |
| 6 | 3.9 | -1.352 |